Entry 1:
10
Lattice="6.480 0.000 0.000 3.202 5.639 0.000 3.097 -1.675 6.459" Properties=species:S:1:pos:R:3 comment="Ac2BeCdAu6 GGA-PBE relaxed" dos_ef_per_ev_atom=0.41 pbc="T T T"
Ac 1.500 1.044 1.207
Ac 11.280 2.920 5.251
Be 4.789 -0.837 3.229
Cd 4.841 2.819 0.000
Au 3.168 0.088 4.578
Au 4.681 1.259 2.292
Au 6.168 3.865 2.204
Au 6.612 0.099 4.254
Au 8.099 2.706 4.167
Au 9.612 3.877 1.881


Entry 2:
10
Lattice="4.558 0.000 0.000 0.000 4.558 0.000 0.000 0.000 10.389" Properties=species:S:1:pos:R:3 comment="Ac2BeGa3Au4 GGA-PBE relaxed" dos_ef_per_ev_atom=0.57 pbc="T T T"
Ac 0.000 2.279 2.535
Ac 2.279 0.000 7.854
Be 2.279 2.279 0.000
Ga 0.000 0.000 0.000
Ga 0.000 2.279 6.580
Ga 2.279 0.000 3.809
Au 0.000 0.000 5.194
Au 0.000 2.279 9.184
Au 2.279 0.000 1.205
Au 2.279 2.279 5.194


Entry 3:
10
Lattice="5.718 -3.308 0.000 5.718 3.308 0.000 -3.833 0.000 5.947" Properties=species:S:1:pos:R:3 comment="Ac2BeGaAu6 GGA-PBE relaxed" dos_ef_per_ev_atom=0.53 pbc="T T T"
Ac 1.896 0.000 0.997
Ac 5.708 0.000 4.950
Be -1.916 0.000 2.973
Ga 5.718 0.000 0.000
Au 0.132 0.000 4.041
Au 2.784 1.535 4.060
Au 4.820 1.535 1.887
Au 2.784 -1.535 4.060
Au 4.820 -1.535 1.887
Au 7.471 0.000 1.906


Entry 4:
9
Lattice="-3.389 3.389 4.455 3.389 -3.389 4.455 3.389 3.389 -4.455" Properties=species:S:1:pos:R:3 comment="Ac2BeGa2Au4 GGA-PBE relaxed" dos_ef_per_ev_atom=0.40 pbc="T T T"
Ac 3.389 0.000 2.227
Ac 0.000 3.389 2.227
Be 0.000 0.000 0.000
Ga 0.000 0.000 2.922
Ga 0.000 0.000 5.988
Au 1.683 1.683 0.000
Au 1.705 -1.705 4.455
Au -1.705 1.705 4.455
Au 1.705 1.705 4.455


Number 1: formation enthalpy at 0 K -48.35 kJ per mole of atoms, magnetic moment 0.00 Bohr magnetons per cell. Number 2: formation enthalpy at 0 K -57.31 kJ per mole of atoms, magnetic moment 0.00 Bohr magnetons per cell. Number 3: formation enthalpy at 0 K -54.77 kJ per mole of atoms, magnetic moment 0.00 Bohr magnetons per cell. Number 4: formation enthalpy at 0 K -50.30 kJ per mole of atoms, magnetic moment 0.00 Bohr magnetons per cell.